Below is crystalline SbRuI2Cl at its relaxed geometry, with properties calculated at the PBEsol level.

## Properties
- DOS at the Fermi energy (states/eV/cell) = 6.829
- M_tot (μB per cell) = 0.0
- formation energy without anion corrections (meV per atom) = 321
- energy (eV/atom) = -3.733

a = 5.3087 Å, b = 5.3087 Å, c = 5.0140 Å
α = 90.00°, β = 90.00°, γ = 90.00°
Closest atoms and distances in Å follow each position.
Positions (direct):
Sb  0.0000  0.0000  0.0000  2 Ru 2.51
Ru  0.0000  0.0000  0.5000  2 Sb 2.51, 4 I 2.65
I  0.0000  0.5000  0.5000  2 Ru 2.65
I  0.5000  0.0000  0.5000  2 Ru 2.65
Cl  0.5000  0.5000  0.0000  8 I 3.65, 4 Sb 3.75